# AgIr2Rh

AgIr2Rh after structural relaxation (GGA-PBE, the Alexandria database). Values from VASP.

The structure in Quantum ESPRESSO input format:
```
&SYSTEM
  ibrav = 0, nat = 8, ntyp = 3
/
ATOMIC_SPECIES
Ir 192.22 Ir.upf
Ag 107.87 Ag.upf
Rh 102.91 Rh.upf
ATOMIC_POSITIONS angstrom
Ir -12.622 0.857 1.661
Ir -4.619 1.613 2.543
Ag 0.000 0.000 0.000
Ir -8.011 -0.236 1.174
Rh -8.052 -0.944 -1.192
Ir -5.605 -0.756 -1.471
Ag -7.377 1.683 3.146
Rh -5.018 0.976 0.190
CELL_PARAMETERS angstrom
-4.343 3.602 4.529
-5.694 -1.651 -4.148
-5.391 -1.212 1.573
```

Computed properties:
crystal system: tetragonal
energy relative to the lowest polymorph listed for this composition: 675 meV/atom
symmetry: I-42d (122)
ΔE_f: 835 meV per atom

# AgIrRh2

AgIrRh2 after structural relaxation (GGA-PBE, the Alexandria database). Values from VASP.

The structure in Quantum ESPRESSO input format:
```
&SYSTEM
  ibrav = 0, nat = 4, ntyp = 3
/
ATOMIC_SPECIES
Rh 102.91 Rh.upf
Ag 107.87 Ag.upf
Ir 192.22 Ir.upf
ATOMIC_POSITIONS angstrom
Rh 0.000 0.000 0.000
Rh -7.613 -1.267 2.523
Ag -5.075 -0.844 1.682
Ir -2.538 -0.422 0.841
CELL_PARAMETERS angstrom
-2.503 -1.345 3.385
-3.919 1.903 0.744
-3.729 -2.247 -0.765
```

Computed properties:
crystal system: cubic
energy relative to the lowest polymorph listed for this composition: 384 meV/atom
symmetry: F-43m (216)
ΔE_f: 499 meV per atom

# AgIr2Rh2

AgIr2Rh2 after structural relaxation (GGA-PBE, the Alexandria database). Values from VASP.

The structure in Quantum ESPRESSO input format:
```
&SYSTEM
  ibrav = 0, nat = 10, ntyp = 3
/
ATOMIC_SPECIES
Ir 192.22 Ir.upf
Ag 107.87 Ag.upf
Rh 102.91 Rh.upf
ATOMIC_POSITIONS angstrom
Ir 4.729 0.916 0.000
Ir 0.916 2.896 0.000
Ir 6.708 4.729 0.000
Ag 3.812 3.812 0.000
Ag 0.000 0.000 0.000
Rh 2.467 1.345 1.369
Rh 5.158 6.280 1.369
Rh 6.280 2.467 1.369
Rh 1.345 5.158 1.369
Ir 2.896 6.708 0.000
CELL_PARAMETERS angstrom
7.625 0.000 0.000
0.000 7.625 0.000
0.000 0.000 2.737
```

Computed properties:
crystal system: tetragonal
energy relative to the lowest polymorph listed for this composition: 0 meV/atom
symmetry: P4/mbm (127)
ΔE_f: 266 meV per atom

# AgIrRh2

AgIrRh2 after structural relaxation (GGA-PBE, the Alexandria database). Values from VASP.

The structure in Quantum ESPRESSO input format:
```
&SYSTEM
  ibrav = 0, nat = 4, ntyp = 3
/
ATOMIC_SPECIES
Rh 102.91 Rh.upf
Ir 192.22 Ir.upf
Ag 107.87 Ag.upf
ATOMIC_POSITIONS angstrom
Rh -6.895 0.724 -0.366
Ir 0.000 0.000 0.000
Ag -13.549 1.423 -0.718
Rh -20.203 2.122 -1.071
CELL_PARAMETERS angstrom
-8.978 0.680 -2.053
-9.215 -0.273 0.534
-8.906 2.439 0.082
```

Computed properties:
crystal system: trigonal
energy relative to the lowest polymorph listed for this composition: 9 meV/atom
symmetry: R-3m (166)
ΔE_f: 124 meV per atom